PBE with a Hubbard U Tl3VO6, relaxed; VASP energy = -0.2007 hartree per atom
1.0
-3.818 -0.508 4.573
-1.034 -7.133 -1.656
5.690 -0.599 4.685
O Tl V
12 6 2
direct
0.274 0.331 0.354
0.700 0.227 0.773
0.774 0.669 0.646
0.128 0.066 0.637
0.466 0.985 0.015
0.966 0.015 0.985
0.628 0.637 0.066
0.128 0.363 0.934
0.200 0.773 0.227
0.628 0.934 0.363
0.774 0.354 0.331
0.274 0.646 0.669
0.499 0.904 0.676
0.035 0.583 0.417
0.999 0.096 0.324
0.535 0.417 0.583
0.499 0.324 0.096
0.999 0.676 0.904
0.483 0.831 0.169
0.983 0.169 0.831